PrTm2Tc: relaxed, PBE.

Spin magnetization   0.00 Bohr magnetons per cell
Formation energy   -33 meV per atom
Energy above the most stable polymorph in this dataset   43.8 meV/atom
E   -6.055 eV/atom

```
PrTm2Tc
1.0
3.429 0.000 0.000
0.000 3.429 0.000
0.000 0.000 9.111
Pr Tm Tc
1 2 1
Cartesian
0.000 0.000 0.000 Pr
1.714 1.714 2.930 Tm
1.714 1.714 6.181 Tm
0.000 0.000 4.556 Tc
```